one:
The following is a PBE-GGA calculation of an optimized crystal structure of Pm4DyY3, from Alexandria via LeMat-Bulk.

Its density is 6.23 Mg/m³.

It has space group Pmn2_1 (No. 31), with a = 11.553 Å, b = 7.345 Å, c = 6.341 Å, α = 90.00°, β = 90.00° and γ = 90.00°. The distinct sites, in fractional coordinates, are Pm at (0.000, 0.126, 0.000), Pm at (0.000, 0.874, 0.500), Pm at (0.249, 0.126, 0.331), Dy at (0.000, 0.376, 0.497), Y at (0.000, 0.623, 0.997) and Y at (0.250, 0.377, 0.832).


two:
The following is a PBE-GGA calculation of an optimized crystal structure of Pm4DyY3, from Alexandria via LeMat-Bulk.

Its density is 6.19 Mg/m³.

It has space group C2/m (No. 12), with a = 23.682 Å, b = 3.493 Å, c = 6.821 Å, α = 90.00°, β = 106.45° and γ = 90.00°. The distinct sites, in fractional coordinates, are Pm at (0.124, 0.000, 0.369), Pm at (0.240, 0.500, 0.239), Dy at (0.000, 0.500, 0.000), Y at (0.000, 0.000, 0.500) and Y at (0.123, 0.000, 0.882).


Most stable structure, least stable structure: one, two.